# 1
{
  "formula": "Ca2SiPb",
  "functional": "GGA-PBE",
  "state": "optimized geometry",
  "lattice": [[4.8321, 0.0000, 0.0000], [0.0000, 4.8321, 0.0000], [0.0000, 0.0000, 8.9241]],
  "species": ["Ca", "Ca", "Ca", "Ca", "Si", "Si", "Pb", "Pb"],
  "fractional_positions": [[0.0000, 0.5000, 0.2500], [0.0000, 0.5000, 0.7500], [0.5000, 0.0000, 0.2500], [0.5000, 0.0000, 0.7500], [0.0000, 0.0000, 0.0000], [0.5000, 0.5000, 0.5000], [0.0000, 0.0000, 0.5000], [0.5000, 0.5000, 0.0000]],
  "polymorph_energy_mev_per_atom": 44,
  "total_magnetization_mub_per_fu": 0.00
}

---

# 2
{
  "formula": "CaSiPb2",
  "functional": "GGA-PBE",
  "state": "optimized geometry",
  "lattice": [[3.7304, 0.0000, 0.0000], [0.0000, 4.2073, 0.0000], [0.0000, 0.0000, 6.9369]],
  "species": ["Ca", "Si", "Pb", "Pb"],
  "fractional_positions": [[0.0000, 0.0000, 0.0000], [0.5000, 0.5000, 0.7645], [0.0000, 0.0000, 0.5458], [0.5000, 0.5000, 0.2806]],
  "total_magnetization_mub_per_fu": 0.00
}

---

# 3
{
  "formula": "Ca3SiPb2",
  "functional": "GGA-PBE",
  "state": "optimized geometry",
  "lattice": [[12.7353, 0.0000, 0.0000], [0.0000, 4.4262, 0.0000], [0.0000, 0.0000, 12.7664]],
  "species": ["Ca", "Ca", "Ca", "Ca", "Ca", "Ca", "Ca", "Ca", "Ca", "Ca", "Ca", "Ca", "Si", "Si", "Si", "Si", "Pb", "Pb", "Pb", "Pb", "Pb", "Pb", "Pb", "Pb"],
  "fractional_positions": [[0.0625, 0.2500, 0.1219], [0.1150, 0.7500, 0.5409], [0.2279, 0.2500, 0.7779], [0.2721, 0.7500, 0.2779], [0.3850, 0.2500, 0.0409], [0.4375, 0.7500, 0.6219], [0.5625, 0.2500, 0.3781], [0.6150, 0.7500, 0.9591], [0.7279, 0.2500, 0.7221], [0.7721, 0.7500, 0.2221], [0.8850, 0.2500, 0.4591], [0.9375, 0.7500, 0.8781], [0.1355, 0.2500, 0.3556], [0.3645, 0.7500, 0.8556], [0.6355, 0.2500, 0.1444], [0.8645, 0.7500, 0.6444], [0.0056, 0.7500, 0.3078], [0.1907, 0.7500, 0.9905], [0.3093, 0.2500, 0.4905], [0.4944, 0.2500, 0.8078], [0.5056, 0.7500, 0.1922], [0.6907, 0.7500, 0.5095], [0.8093, 0.2500, 0.0095], [0.9944, 0.2500, 0.6922]],
  "total_magnetization_mub_per_fu": 0.00
}

---

# 4
{
  "formula": "CaSiPb2",
  "functional": "GGA-PBE",
  "state": "optimized geometry",
  "lattice": [[10.8408, 0.0000, 0.0000], [0.0000, 4.0855, 0.0000], [-2.4963, 0.0000, 5.1370]],
  "species": ["Ca", "Ca", "Si", "Si", "Pb", "Pb", "Pb", "Pb"],
  "fractional_positions": [[0.0000, 0.0000, 0.0000], [0.5000, 0.5000, 0.0000], [0.2835, 0.0000, 0.9672], [0.7835, 0.5000, 0.9672], [0.0991, 0.5000, 0.6142], [0.3000, 0.5000, 0.3347], [0.5991, 0.0000, 0.6142], [0.8000, 0.0000, 0.3347]],
  "total_magnetization_mub_per_fu": 0.00
}

---

# 5
{
  "formula": "Ca2SiPb",
  "functional": "GGA-PBE",
  "state": "optimized geometry",
  "lattice": [[7.6392, 0.0000, 0.0000], [0.0000, 7.6392, 0.0000], [0.0000, 0.0000, 7.6392]],
  "species": ["Ca", "Ca", "Ca", "Ca", "Ca", "Ca", "Ca", "Ca", "Si", "Si", "Si", "Si", "Pb", "Pb", "Pb", "Pb"],
  "fractional_positions": [[0.0000, 0.0000, 0.0000], [0.0000, 0.5000, 0.5000], [0.2500, 0.2500, 0.2500], [0.2500, 0.7500, 0.7500], [0.5000, 0.0000, 0.5000], [0.5000, 0.5000, 0.0000], [0.7500, 0.2500, 0.7500], [0.7500, 0.7500, 0.2500], [0.0000, 0.0000, 0.5000], [0.0000, 0.5000, 0.0000], [0.5000, 0.0000, 0.0000], [0.5000, 0.5000, 0.5000], [0.2500, 0.2500, 0.7500], [0.2500, 0.7500, 0.2500], [0.7500, 0.2500, 0.2500], [0.7500, 0.7500, 0.7500]],
  "polymorph_energy_mev_per_atom": 410,
  "total_magnetization_mub_per_fu": 0.00
}

---

# 6
{
  "formula": "CaSiPb2",
  "functional": "GGA-PBE",
  "state": "optimized geometry",
  "lattice": [[3.4792, 0.0000, 0.0000], [0.0000, 5.3448, 0.0000], [-0.3324, 0.0000, 5.8873]],
  "species": ["Ca", "Si", "Pb", "Pb"],
  "fractional_positions": [[0.0000, 0.0000, 0.0000], [0.5000, 0.0000, 0.5000], [0.3372, 0.5000, 0.7417], [0.6628, 0.5000, 0.2583]],
  "total_magnetization_mub_per_fu": 0.00
}

---

# 7
{
  "formula": "CaSiPb2",
  "functional": "GGA-PBE",
  "state": "optimized geometry",
  "lattice": [[13.0038, 0.0000, 0.0000], [0.0000, 3.6663, 0.0000], [-1.9999, 0.0000, 4.7167]],
  "species": ["Ca", "Ca", "Si", "Si", "Pb", "Pb", "Pb", "Pb"],
  "fractional_positions": [[0.0000, 0.0000, 0.0000], [0.5000, 0.5000, 0.0000], [0.0000, 0.5000, 0.5000], [0.5000, 0.0000, 0.5000], [0.2003, 0.0000, 0.7002], [0.2997, 0.5000, 0.2998], [0.7003, 0.5000, 0.7002], [0.7997, 0.0000, 0.2998]],
  "total_magnetization_mub_per_fu": 0.00
}

---

# 8
{
  "formula": "Ca2SiPb",
  "functional": "GGA-PBE",
  "state": "optimized geometry",
  "lattice": [[6.7604, 0.0000, 0.0000], [0.0000, 8.8835, 0.0000], [-0.0111, 0.0000, 3.4809]],
  "species": ["Ca", "Ca", "Ca", "Ca", "Si", "Si", "Pb", "Pb"],
  "fractional_positions": [[0.2500, 0.2500, 0.0000], [0.2500, 0.7500, 0.0000], [0.7500, 0.2500, 0.0000], [0.7500, 0.7500, 0.0000], [0.0000, 0.0000, 0.5000], [0.5000, 0.5000, 0.5000], [0.0000, 0.5000, 0.5000], [0.5000, 0.0000, 0.5000]],
  "polymorph_energy_mev_per_atom": 57,
  "total_magnetization_mub_per_fu": 0.00
}

---

The evaluated total DFT energy (no corrections) for the records listed, in turn: -3.631; -3.712; -3.538; -3.812; -3.265; -3.671; -3.777; -3.618 eV/atom.